18
Lattice="-1.630 6.109 -1.786 -6.204 -0.389 2.127 1.210 2.685 5.873" Properties=species:S:1:pos:R:3 comment="Sm2MgZn3Cu12 PBE relaxed" sg="No. 166" dos_ef_per_ev_fu=7.8 total_magnetization_mub_per_cell=0.000 formation_enthalpy_0k_kj_per_mol_fu=110 pbc="T T T"
Zn -3.102 -0.194 1.064
Zn 0.605 1.342 2.936
Zn -0.815 3.054 -0.893
Cu -5.933 5.328 1.914
Cu -4.424 3.714 0.997
Cu -4.452 3.544 5.905
Cu -3.478 6.231 1.771
Cu -2.069 6.930 3.866
Cu -4.555 1.475 2.349
Cu -5.536 3.307 3.532
Cu -2.200 4.690 5.218
Cu -2.172 4.860 0.310
Cu -0.691 3.076 4.300
Cu -1.088 5.097 2.682
Cu -3.146 2.173 4.443
Sm -4.660 5.912 4.371
Sm -1.964 2.492 1.843
Mg 0.000 0.000 0.000



8
Lattice="4.150 0.000 0.000 0.000 4.150 0.000 2.075 2.075 8.947" Properties=species:S:1:pos:R:3 comment="MgCu2Sn PBE relaxed" sg="No. 122" dos_ef_per_ev_fu=1.7 total_magnetization_mub_per_cell=0.000 formation_enthalpy_0k_kj_per_mol_fu=83 pbc="T T T"
Cu 0.935 3.113 2.237
Cu 5.188 5.291 6.710
Cu 3.113 3.010 6.710
Cu 3.216 1.038 2.237
Sn 4.150 2.075 4.473
Sn 0.000 0.000 0.000
Mg 2.075 2.075 0.000
Mg 2.075 4.150 4.473